PrGa4Co2: relaxed, GGA-PBE.

abc: 8.3712 6.6459 5.1385
angles: 90.00 127.34 90.00
Closest atoms and distances in Å follow each position.
Space group C2/m (No. 12)
Symmetry-distinct sites (fractional):
Pr: 0.0000 0.0000 0.0000  12 Ga 2.85-3.18
Ga: 0.1972 0.1978 0.6966  4 Ga 2.62-2.76, 4 Co 2.72-2.74, 1 Pr 2.85
Co: 0.0000 0.5000 0.2498  2 Co 2.57, 8 Ga 2.72-2.74

Results
Theoretical density   7.9 g/cm³
DFT formation energy   -1.4 eV/f.u.
Raw total energy   -4.643 eV/atom